[1]
! PBE Na2NF2, optimized geometry; values from VASP
&SYSTEM
  ibrav = 0, nat = 5, ntyp = 3
/
ATOMIC_SPECIES
Na 22.99 Na.upf
N 14.01 N.upf
F 19.00 F.upf
CELL_PARAMETERS angstrom
-4.334 -0.192 0.850
0.857 -1.720 3.982
-1.564 3.523 4.313
ATOMIC_POSITIONS crystal
Na 0.283 0.283 0.434
Na 0.717 0.717 0.566
N 0.000 0.000 0.000
F 0.750 0.250 0.500
F 0.250 0.750 0.500
! Space-group type = I4/mmm (139)
! Offset from the most stable computed form = 0 meV/atom
! Uncorrected energy = -19.76 eV per cell
! Magnetic moment = 3.0 μB/f.u.
! Raw formation energy = -1011 meV per atom



[2]
! PBE Na4NF2, optimized geometry; values from VASP
&SYSTEM
  ibrav = 0, nat = 7, ntyp = 3
/
ATOMIC_SPECIES
Na 22.99 Na.upf
N 14.01 N.upf
F 19.00 F.upf
CELL_PARAMETERS angstrom
-1.510 -1.821 3.843
0.701 -4.129 -1.681
5.425 -2.927 3.395
ATOMIC_POSITIONS crystal
Na 0.186 0.186 0.629
Na 0.814 0.814 0.371
Na 0.000 0.500 0.000
Na 0.500 0.000 0.000
N 0.000 0.000 0.000
F 0.357 0.357 0.286
F 0.643 0.643 0.714
! Space-group type = I4/mmm (139)
! Uncorrected energy = -25.06 eV per cell
! Magnetic moment = 1.0 μB/f.u.
! Raw formation energy = -1103 meV per atom



[3]
! PBE NaN2F11, optimized geometry; values from VASP
&SYSTEM
  ibrav = 0, nat = 28, ntyp = 3
/
ATOMIC_SPECIES
Na 22.99 Na.upf
N 14.01 N.upf
F 19.00 F.upf
CELL_PARAMETERS angstrom
12.984 0.024 6.793
6.340 4.537 3.686
3.462 -0.510 9.207
ATOMIC_POSITIONS crystal
Na 0.687 0.726 0.938
Na 0.149 0.227 0.438
N 0.684 0.893 0.180
N 0.254 0.232 0.849
N 0.743 0.393 0.680
N 0.164 0.732 0.350
F 0.773 0.935 0.142
F 0.258 0.097 0.806
F 0.148 0.511 0.759
F 0.901 0.094 0.689
F 0.817 0.593 0.189
F 0.080 0.012 0.261
F 0.339 0.597 0.304
F 0.650 0.435 0.643
F 0.652 0.304 0.418
F 0.126 0.807 0.916
F 0.220 0.508 0.000
F 0.944 0.282 0.791
F 0.772 0.006 0.502
F 0.483 0.781 0.291
F 0.522 0.994 0.376
F 0.453 0.091 0.708
F 0.348 0.037 0.133
F 0.856 0.545 0.459
F 0.641 0.045 0.959
F 0.982 0.536 0.633
F 0.247 0.593 0.208
F 0.609 0.493 0.876
! Space-group type = P1 (1)
! Uncorrected energy = -94.08 eV per cell
! Magnetic moment = 2.0 μB/f.u.
! Raw formation energy = -606 meV per atom



[4]
! PBE NaN2F, optimized geometry; values from VASP
&SYSTEM
  ibrav = 0, nat = 4, ntyp = 3
/
ATOMIC_SPECIES
Na 22.99 Na.upf
N 14.01 N.upf
F 19.00 F.upf
CELL_PARAMETERS angstrom
0.000 3.092 3.092
3.092 0.000 3.092
3.092 3.092 0.000
ATOMIC_POSITIONS crystal
Na 0.500 0.500 0.500
N 0.250 0.250 0.250
N 0.750 0.750 0.750
F 0.000 0.000 0.000
! Space-group type = Fm-3m (225)
! Offset from the most stable computed form = 13 meV/atom
! Uncorrected energy = -13.53 eV per cell
! Magnetic moment = 6.0 μB/f.u.
! Raw formation energy = 1577 meV per atom



[5]
! PBE NaNF3, optimized geometry; values from VASP
&SYSTEM
  ibrav = 0, nat = 20, ntyp = 3
/
ATOMIC_SPECIES
Na 22.99 Na.upf
N 14.01 N.upf
F 19.00 F.upf
CELL_PARAMETERS angstrom
-6.030 -0.203 -0.112
-0.022 -1.475 3.887
-0.430 10.667 3.844
ATOMIC_POSITIONS crystal
Na 0.918 0.440 0.208
Na 0.082 0.560 0.792
Na 0.418 0.060 0.292
Na 0.582 0.940 0.708
N 0.899 0.504 0.504
N 0.101 0.496 0.496
N 0.399 0.996 0.996
N 0.601 0.004 0.004
F 0.714 0.304 0.373
F 0.286 0.696 0.627
F 0.214 0.196 0.127
F 0.786 0.804 0.873
F 0.230 0.591 0.329
F 0.770 0.409 0.671
F 0.730 0.909 0.171
F 0.270 0.091 0.829
F 0.814 0.803 0.496
F 0.186 0.197 0.504
F 0.314 0.697 0.004
F 0.686 0.303 0.996
! Space-group type = P2_1/c (14)
! Offset from the most stable computed form = 0 meV/atom
! Uncorrected energy = -80.36 eV per cell
! Magnetic moment = 0.0 μB/f.u.
! Raw formation energy = -966 meV per atom



[6]
! PBE NaN2F6, optimized geometry; values from VASP
&SYSTEM
  ibrav = 0, nat = 18, ntyp = 3
/
ATOMIC_SPECIES
Na 22.99 Na.upf
N 14.01 N.upf
F 19.00 F.upf
CELL_PARAMETERS angstrom
-4.175 5.772 -0.552
-3.539 2.351 5.792
2.985 5.005 4.135
ATOMIC_POSITIONS crystal
Na 0.996 0.750 0.004
Na 0.004 0.250 0.996
N 0.421 0.640 0.298
N 0.702 0.860 0.579
N 0.579 0.360 0.702
N 0.298 0.140 0.421
F 0.210 0.272 0.538
F 0.462 0.228 0.790
F 0.790 0.728 0.462
F 0.538 0.772 0.210
F 0.212 0.977 0.526
F 0.474 0.523 0.788
F 0.788 0.023 0.474
F 0.526 0.477 0.212
F 0.191 0.856 0.101
F 0.899 0.644 0.809
F 0.809 0.144 0.899
F 0.101 0.356 0.191
! Space-group type = C2/c (15)
! Uncorrected energy = -70.70 eV per cell
! Magnetic moment = 1.0 μB/f.u.
! Raw formation energy = -683 meV per atom



[7]
! PBE NaN2F, optimized geometry; values from VASP
&SYSTEM
  ibrav = 0, nat = 4, ntyp = 3
/
ATOMIC_SPECIES
Na 22.99 Na.upf
N 14.01 N.upf
F 19.00 F.upf
CELL_PARAMETERS angstrom
-2.582 -2.886 3.962
1.504 -2.416 4.753
-1.130 0.783 5.367
ATOMIC_POSITIONS crystal
Na 0.500 0.500 0.500
N 0.883 0.883 0.883
N 0.117 0.117 0.117
F 0.000 0.000 0.000
! Space-group type = R-3m (166)
! Offset from the most stable computed form = 0 meV/atom
! Uncorrected energy = -13.58 eV per cell
! Magnetic moment = 4.0 μB/f.u.
! Raw formation energy = 1564 meV per atom



[8]
! PBE Na2N2F, optimized geometry; values from VASP
&SYSTEM
  ibrav = 0, nat = 10, ntyp = 3
/
ATOMIC_SPECIES
Na 22.99 Na.upf
N 14.01 N.upf
F 19.00 F.upf
CELL_PARAMETERS angstrom
-6.211 -0.869 -1.773
-1.345 -2.420 5.899
-0.680 2.818 1.001
ATOMIC_POSITIONS crystal
Na 0.227 0.727 0.500
Na 0.727 0.773 0.500
Na 0.773 0.273 0.500
Na 0.273 0.227 0.500
N 0.436 0.936 0.000
N 0.936 0.564 0.000
N 0.564 0.064 0.000
N 0.064 0.436 0.000
F 0.000 0.000 0.000
F 0.500 0.500 0.000
! Space-group type = P4/mbm (127)
! Offset from the most stable computed form = 215 meV/atom
! Uncorrected energy = -51.48 eV per cell
! Magnetic moment = 0.0 μB/f.u.
! Raw formation energy = -916 meV per atom



[9]
! PBE NaNF3, optimized geometry; values from VASP
&SYSTEM
  ibrav = 0, nat = 5, ntyp = 3
/
ATOMIC_SPECIES
Na 22.99 Na.upf
N 14.01 N.upf
F 19.00 F.upf
CELL_PARAMETERS angstrom
3.836 0.000 0.000
0.000 3.836 0.000
0.000 0.000 3.836
ATOMIC_POSITIONS crystal
Na 0.500 0.500 0.500
N 0.000 0.000 0.000
F 0.000 0.500 0.000
F 0.000 0.000 0.500
F 0.500 0.000 0.000
! Space-group type = Pm-3m (221)
! Offset from the most stable computed form = 416 meV/atom
! Uncorrected energy = -18.01 eV per cell
! Magnetic moment = 0.9 μB/f.u.
! Raw formation energy = -550 meV per atom



[10]
! PBE NaNF4, optimized geometry; values from VASP
&SYSTEM
  ibrav = 0, nat = 12, ntyp = 3
/
ATOMIC_SPECIES
Na 22.99 Na.upf
N 14.01 N.upf
F 19.00 F.upf
CELL_PARAMETERS angstrom
3.939 0.000 0.000
0.000 6.576 0.000
0.000 0.000 6.356
ATOMIC_POSITIONS crystal
Na 0.333 0.827 0.000
Na 0.833 0.173 0.500
N 0.369 0.237 0.000
N 0.869 0.763 0.500
F 0.284 0.441 0.000
F 0.716 0.241 0.000
F 0.335 0.201 0.705
F 0.835 0.799 0.795
F 0.216 0.759 0.500
F 0.784 0.559 0.500
F 0.835 0.799 0.205
F 0.335 0.201 0.295
! Space-group type = Pmn2_1 (31)
! Offset from the most stable computed form = 36 meV/atom
! Uncorrected energy = -46.60 eV per cell
! Magnetic moment = 0.0 μB/f.u.
! Raw formation energy = -1029 meV per atom



[11]
! PBE NaN2F8, optimized geometry; values from VASP
&SYSTEM
  ibrav = 0, nat = 11, ntyp = 3
/
ATOMIC_SPECIES
Na 22.99 Na.upf
N 14.01 N.upf
F 19.00 F.upf
CELL_PARAMETERS angstrom
5.971 -0.066 -0.057
0.715 5.118 0.619
0.715 1.405 4.961
ATOMIC_POSITIONS crystal
Na 0.000 0.000 0.000
N 0.277 0.192 0.192
N 0.723 0.808 0.808
F 0.787 0.151 0.554
F 0.213 0.446 0.849
F 0.508 0.156 0.156
F 0.492 0.844 0.844
F 0.787 0.554 0.151
F 0.213 0.849 0.446
F 0.243 0.350 0.350
F 0.757 0.650 0.650
! Space-group type = C2/m (12)
! Uncorrected energy = -39.39 eV per cell
! Magnetic moment = 0.6 μB/f.u.
! Raw formation energy = -587 meV per atom



[12]
! PBE Na2NF2, optimized geometry; values from VASP
&SYSTEM
  ibrav = 0, nat = 10, ntyp = 3
/
ATOMIC_SPECIES
Na 22.99 Na.upf
N 14.01 N.upf
F 19.00 F.upf
CELL_PARAMETERS angstrom
6.615 0.000 0.000
0.000 6.615 0.000
0.000 0.000 3.001
ATOMIC_POSITIONS crystal
Na 0.351 0.851 0.000
Na 0.851 0.649 0.000
Na 0.649 0.149 0.000
Na 0.149 0.351 0.000
N 0.000 0.000 0.000
N 0.500 0.500 0.000
F 0.152 0.652 0.500
F 0.652 0.848 0.500
F 0.848 0.348 0.500
F 0.348 0.152 0.500
! Space-group type = P4/mbm (127)
! Offset from the most stable computed form = 20 meV/atom
! Uncorrected energy = -39.32 eV per cell
! Magnetic moment = 3.0 μB/f.u.
! Raw formation energy = -991 meV per atom



[13]
! PBE Na2N2F, optimized geometry; values from VASP
&SYSTEM
  ibrav = 0, nat = 5, ntyp = 3
/
ATOMIC_SPECIES
Na 22.99 Na.upf
N 14.01 N.upf
F 19.00 F.upf
CELL_PARAMETERS angstrom
3.146 0.000 1.081
1.454 2.853 0.887
-0.761 0.039 7.333
ATOMIC_POSITIONS crystal
Na 0.269 0.270 0.192
Na 0.731 0.730 0.808
N 0.472 0.473 0.583
N 0.528 0.527 0.417
F 0.000 0.000 0.000
! Space-group type = R-3m (166)
! Offset from the most stable computed form = 0 meV/atom
! Uncorrected energy = -26.82 eV per cell
! Magnetic moment = 0.0 μB/f.u.
! Raw formation energy = -1131 meV per atom



[14]
! PBE NaNF4, optimized geometry; values from VASP
&SYSTEM
  ibrav = 0, nat = 12, ntyp = 3
/
ATOMIC_SPECIES
Na 22.99 Na.upf
N 14.01 N.upf
F 19.00 F.upf
CELL_PARAMETERS angstrom
6.310 -0.894 1.886
-3.958 5.719 1.956
-0.230 -0.319 6.292
ATOMIC_POSITIONS crystal
Na 0.723 0.476 0.554
Na 0.277 0.524 0.446
N 0.629 0.879 0.696
N 0.371 0.121 0.304
F 0.401 0.791 0.901
F 0.460 0.563 0.703
F 0.218 0.136 0.201
F 0.599 0.209 0.099
F 0.175 0.771 0.399
F 0.782 0.864 0.799
F 0.540 0.437 0.297
F 0.825 0.229 0.601
! Space-group type = P-1 (2)
! Offset from the most stable computed form = 0 meV/atom
! Uncorrected energy = -47.04 eV per cell
! Magnetic moment = 0.0 μB/f.u.
! Raw formation energy = -1065 meV per atom



[15]
! PBE NaNF2, optimized geometry; values from VASP
&SYSTEM
  ibrav = 0, nat = 4, ntyp = 3
/
ATOMIC_SPECIES
Na 22.99 Na.upf
N 14.01 N.upf
F 19.00 F.upf
CELL_PARAMETERS angstrom
0.514 -3.306 2.160
-2.109 -3.273 -0.837
1.796 -3.170 -1.608
ATOMIC_POSITIONS crystal
Na 0.500 0.500 0.500
N 0.000 0.000 0.000
F 0.250 0.250 0.250
F 0.750 0.750 0.750
! Space-group type = Fm-3m (225)
! Offset from the most stable computed form = 504 meV/atom
! Uncorrected energy = -13.58 eV per cell
! Magnetic moment = 2.0 μB/f.u.
! Raw formation energy = -47 meV per atom



[16]
! PBE NaNF2, optimized geometry; values from VASP
&SYSTEM
  ibrav = 0, nat = 4, ntyp = 3
/
ATOMIC_SPECIES
Na 22.99 Na.upf
N 14.01 N.upf
F 19.00 F.upf
CELL_PARAMETERS angstrom
-6.013 0.581 1.083
-4.725 -1.325 3.687
-4.383 2.132 3.730
ATOMIC_POSITIONS crystal
Na 0.500 0.500 0.500
N 0.000 0.000 0.000
F 0.899 0.899 0.899
F 0.101 0.101 0.101
! Space-group type = R-3m (166)
! Offset from the most stable computed form = 0 meV/atom
! Uncorrected energy = -15.59 eV per cell
! Magnetic moment = 2.0 μB/f.u.
! Raw formation energy = -551 meV per atom